Entry from Alexandria: crystalline MnBeP2Pt at its relaxed geometry (GGA-PBE).

a b c (Å): 4.1351 4.1046 4.1351
angles (deg): 90.00 90.00 90.00
Last column: nearest neighbours and their distance in Å.
Sites, in units of the cell vectors:
Mn (0.0000, 0.5000, 0.0000)  2 Be 2.05
P (0.0000, 0.0000, 0.5000)  2 Be 2.07
Pt (0.5000, 0.5000, 0.5000)  8 P 2.91, 4 Mn 2.92
Be (0.0000, 0.0000, 0.0000)  2 Mn 2.05, 4 P 2.07
P (0.5000, 0.0000, 0.0000)  2 Be 2.07

Computed properties:
- DFT formation energy: 0.474 eV/atom
- DOS at the Fermi energy: 2.46 states/eV/cell

***

Entry from Alexandria: crystalline MnBeP2Ru at its relaxed geometry (GGA-PBE).

a b c (Å): 4.1747 4.6322 4.1747
angles (deg): 90.00 90.00 90.00
Last column: nearest neighbours and their distance in Å.
Sites, in units of the cell vectors:
Mn (0.0000, 0.0000, 0.0000)  4 P 2.09, 2 Ru 2.32
P (0.0000, 0.0000, 0.5000)  2 Mn 2.09
Be (0.5000, 0.5000, 0.5000)  4 Ru 2.95, 8 P 3.12
P (0.5000, 0.0000, 0.0000)  2 Mn 2.09
Ru (0.0000, 0.5000, 0.0000)  2 Mn 2.32

Computed properties:
- DFT formation energy: 0.963 eV/atom
- DOS at the Fermi energy: 4.58 states/eV/cell

***

Entry from Alexandria: crystalline MnBePRu at its relaxed geometry (GGA-PBE).

a b c (Å): 3.9237 3.9237 3.9237
angles (deg): 60.00 60.00 60.00
Last column: nearest neighbours and their distance in Å.
Sites, in units of the cell vectors:
Be (0.0000, 0.0000, 0.0000)  4 Ru 2.40, 4 Mn 2.40
Ru (0.7500, 0.7500, 0.7500)  4 Be 2.40, 4 P 2.40
Mn (0.2500, 0.2500, 0.2500)  4 Be 2.40, 4 P 2.40
P (0.5000, 0.5000, 0.5000)  4 Mn 2.40, 4 Ru 2.40

Computed properties:
- DFT formation energy: -0.327 eV/atom
- DOS at the Fermi energy: 3.22 states/eV/cell

***

What is the DFT formation energy in the first record?
0.474 eV/atom